[1]
The following is a DFT calculation (PBE) of an optimized crystal structure of Pr3Cd3Ga2Ag.

Summary:
As for the space group: No. 189. The magnetization is 0.0 μB/f.u. The total energy comes out at -30.2 eV for the cell shown.

Unit cell a=7.5295 b=7.5295 c=4.5164 alpha=90.00 beta=90.00 gamma=120.00
Fractional coordinates of all 9 atoms:
Ga  0.6667  0.3333  0.5000
Cd  0.2463  0.0000  0.5000
Pr  0.5797  0.0000  0.0000
Pr  0.4203  0.4203  0.0000
Ag  0.0000  0.0000  0.0000
Ga  0.3333  0.6667  0.5000
Pr  0.0000  0.5797  0.0000
Cd  0.7537  0.7537  0.5000
Cd  0.0000  0.2463  0.5000

[2]
The following is a DFT calculation (PBE) of an optimized crystal structure of PrHfO3.

Summary:
As for the space group: No. 148. The magnetization is 0.0 μB/f.u. The total energy comes out at -90.6 eV for the cell shown.

Unit cell a=5.5417 b=5.5417 c=6.1202 alpha=63.08 beta=63.08 gamma=60.00
Fractional coordinates of all 10 atoms:
O  0.8474  0.9674  0.7553
O  0.1526  0.0326  0.2447
Hf  0.8433  0.8433  0.4702
Hf  0.1567  0.1567  0.5298
O  0.9674  0.4299  0.7553
Pr  0.3769  0.3769  0.8694
O  0.4299  0.8474  0.7553
O  0.0326  0.5701  0.2447
Pr  0.6231  0.6231  0.1306
O  0.5701  0.1526  0.2447

[3]
The following is a DFT calculation (PBE) of an optimized crystal structure of GdZnPd.

Summary:
As for the space group: No. 189. The magnetization is 0.0 μB/f.u. The total energy comes out at -40.0 eV for the cell shown. Its energy of formation is -0.7410 eV per atom.

Unit cell a=7.2547 b=7.2547 c=3.9524 alpha=90.00 beta=90.00 gamma=120.00
Fractional coordinates of all 9 atoms:
Pd  0.0000  0.0000  0.0000
Zn  0.2478  0.0000  0.5000
Pd  0.3333  0.6667  0.5000
Pd  0.6667  0.3333  0.5000
Gd  0.0000  0.5927  0.0000
Zn  0.0000  0.2478  0.5000
Zn  0.7522  0.7522  0.5000
Gd  0.5928  0.0000  0.0000
Gd  0.4072  0.4072  0.0000

[4]
The following is a DFT calculation (PBE) of an optimized crystal structure of Pr2ZrSi2.

Summary:
As for the space group: No. 127. The magnetization is 0.0 μB/f.u. The total energy comes out at -63.9 eV for the cell shown.

Unit cell a=7.4250 b=7.4250 c=4.3937 alpha=90.00 beta=90.00 gamma=90.00
Fractional coordinates of all 10 atoms:
Pr  0.1774  0.6774  0.5000
Pr  0.8226  0.3226  0.5000
Zr  0.5000  0.5000  0.0000
Pr  0.6774  0.8226  0.5000
Zr  0.0000  0.0000  0.0000
Si  0.3788  0.8788  0.0000
Si  0.1212  0.3788  0.0000
Si  0.6212  0.1212  0.0000
Si  0.8788  0.6212  0.0000
Pr  0.3226  0.1774  0.5000